This record from Alexandria describes Nd2TmPt after structural relaxation. The functional is PBE-GGA.

```
4
Lattice="3.700 0.000 0.000 0.000 3.700 0.000 0.000 0.000 8.310" Properties=species:S:1:pos:R:3 pbc="T T T"
Nd 0.000 0.000 1.691
Nd 0.000 0.000 6.619
Tm 1.850 1.850 4.155
Pt 1.850 1.850 0.000
```

Energy relative to the elements (eV per atom): -0.466
Total DFT energy (no corrections) (eV for the cell shown): -21.9
Space group: P4/mmm
Calculated volume (Å³/cell): 114
Relative energy among the computed polymorphs (meV per atom): 106

=====

This record from Alexandria describes Fe2OsPt after structural relaxation. The functional is PBE-GGA.

```
8
Lattice="3.007 0.000 0.000 0.000 4.233 0.000 0.000 0.000 8.457" Properties=species:S:1:pos:R:3 pbc="T T T"
Fe 0.000 0.000 0.000
Fe 0.000 2.117 2.347
Fe 1.503 0.000 6.575
Fe 1.503 2.117 4.228
Os 0.000 0.000 4.486
Os 1.503 2.117 0.258
Pt 0.000 2.117 6.393
Pt 1.503 0.000 2.164
```

Energy relative to the elements (eV per atom): 0.146
Total DFT energy (no corrections) (eV for the cell shown): -67.2
Space group: Imm2
Calculated volume (Å³/cell): 108
Relative energy among the computed polymorphs (meV per atom): 149

=====

This record from Alexandria describes ThGa4Ni2Pt after structural relaxation. The functional is PBE-GGA.

```
8
Lattice="2.083 1.203 8.984 -2.083 1.203 8.984 0.000 -2.405 8.984" Properties=species:S:1:pos:R:3 pbc="T T T"
Th 0.000 0.000 0.000
Ga 0.000 0.000 3.404
Ga 0.000 0.000 10.855
Ga 0.000 0.000 16.097
Ga 0.000 0.000 23.548
Ni 0.000 0.000 6.475
Ni 0.000 0.000 20.476
Pt 0.000 0.000 13.476
```

Energy relative to the elements (eV per atom): -0.482
Total DFT energy (no corrections) (eV for the cell shown): -41.0
Space group: R-3m
Calculated volume (Å³/cell): 135

=====

This record from Alexandria describes TmTl3Cr2Se6 after structural relaxation. The functional is PBE-GGA.

```
12
Lattice="3.387 -5.842 0.000 3.387 5.842 0.000 -2.265 0.000 7.676" Properties=species:S:1:pos:R:3 pbc="T T T"
Tm 0.000 0.000 0.000
Tl 2.255 4.013 3.838
Tl 2.255 0.000 3.838
Tl 2.255 -4.013 3.838
Cr 3.387 1.952 0.000
Cr 3.387 -1.952 0.000
Se 1.218 2.097 1.458
Se 0.171 0.000 6.279
Se 1.218 -2.097 1.458
Se 3.292 2.097 6.217
Se 4.339 0.000 1.397
Se 3.292 -2.097 6.217
```

E_form (uncorrected) (eV per atom): -0.747
Total DFT energy (no corrections) (eV for the cell shown): -60.7
Space group: C2/m
Calculated volume (Å³/cell): 304

=====

This record from Alexandria describes AlHgW2 after structural relaxation. The functional is PBE-GGA.

```
4
Lattice="2.785 0.000 0.000 0.000 2.785 0.000 0.000 0.000 8.940" Properties=species:S:1:pos:R:3 pbc="T T T"
Al 0.000 0.000 0.000
Hg 1.392 1.392 2.416
W 0.000 0.000 4.791
W 1.392 1.392 6.989
```

Energy relative to the elements (eV per atom): 0.471
Total DFT energy (no corrections) (eV for the cell shown): -28.1
Space group: P4mm
Calculated volume (Å³/cell): 69
Relative energy among the computed polymorphs (meV per atom): 133

=====

This record from Alexandria describes VHPt after structural relaxation. The functional is PBE-GGA.

```
3
Lattice="3.866 0.000 0.000 -1.933 3.348 0.000 0.000 0.000 2.682" Properties=species:S:1:pos:R:3 pbc="T T T"
V 0.000 0.000 0.000
H 0.000 2.232 1.377
Pt 1.933 1.116 1.353
```

Total DFT energy (no corrections) (eV for the cell shown): -18.3
Space group: P3m1
Calculated volume (Å³/cell): 35
Relative energy among the computed polymorphs (meV per atom): 402

=====

Mass density: 9.52, 15.33, 10.12, 7.43, 14.26, 11.82 (Mg/m³)